The following is a PBE calculation of a geometry-optimized PrGaBIr2 structure, from the Alexandria database.

Output
SG: Cmcm, No. 63
N(E_F): 2.884 states/eV/f.u.
Calculated formation energy: -62 kJ per mole of atoms

Unit cell a=4.1429 b=6.0179 c=7.4116 alpha=90.00 beta=90.00 gamma=110.13
Last column: nearest neighbours and their distance in Å.
Atoms (fractional coordinates):
Ir 0.1666 0.3333 0.9395  1 B 1.94
B 0.0000 0.0000 0.0000  2 Ir 1.94
Ir 0.8334 0.6667 0.4395  1 B 1.94
Ga 0.7281 0.4563 0.7500  6 Ir 2.59-2.60
Ir 0.1666 0.3333 0.5605  1 B 1.94
B 0.0000 0.0000 0.5000  2 Ir 1.94
Pr 0.5537 0.1073 0.2500  4 B 2.84, 1 Ga 3.18
Ga 0.2719 0.5437 0.2500  6 Ir 2.59-2.60
Pr 0.4463 0.8927 0.7500  4 B 2.84, 1 Ga 3.18
Ir 0.8334 0.6667 0.0605  1 B 1.94



The following is a PBE calculation of a geometry-optimized Pr3Ga2BIr3 structure, from the Alexandria database.

Output
SG: P-62m, No. 189
N(E_F): 5.880 states/eV/f.u.
Calculated formation energy: -40 kJ per mole of atoms

Unit cell a=3.7522 b=7.3688 c=7.3688 alpha=120.00 beta=90.00 gamma=90.00
Last column: nearest neighbours and their distance in Å.
Atoms (fractional coordinates):
Ir 0.5000 0.2161 0.2161  2 B 2.46
Pr 0.0000 0.6202 0.6202  1 B 2.80, 4 Ga 2.97, 4 Ir 3.07
Ir 0.5000 0.7839 0.0000  2 B 2.46
B 0.0000 0.0000 0.0000  6 Ir 2.46
Ga 0.5000 0.3333 0.6667  6 Pr 2.97, 3 Ir 2.98
Ga 0.5000 0.6667 0.3333  6 Pr 2.97, 3 Ir 2.98
Pr 0.0000 0.0000 0.3798  1 B 2.80, 4 Ga 2.97, 4 Ir 3.07
Pr 0.0000 0.3798 0.0000  1 B 2.80, 4 Ga 2.97, 4 Ir 3.07
Ir 0.5000 0.0000 0.7839  2 B 2.46



The following is a PBE calculation of a geometry-optimized Ga2ReBIr structure, from the Alexandria database.

Output
SG: P4/mmm, No. 123
N(E_F): 4.359 states/eV/f.u.
Calculated formation energy: 67 kJ per mole of atoms

Unit cell a=4.3245 b=3.8611 c=4.3245 alpha=90.00 beta=90.00 gamma=90.00
Last column: nearest neighbours and their distance in Å.
Atoms (fractional coordinates):
Ga 0.5000 0.0000 0.0000  2 B 2.16
Re 0.5000 0.5000 0.5000  8 Ga 2.90, 4 Ir 3.06
B 0.0000 0.0000 0.0000  2 Ir 1.93
Ir 0.0000 0.5000 0.0000  2 B 1.93
Ga 0.0000 0.0000 0.5000  2 B 2.16



The following is a PBE calculation of a geometry-optimized GaBIrRh2 structure, from the Alexandria database.

Output
SG: P4/mmm, No. 123
N(E_F): 3.512 states/eV/f.u.
Calculated formation energy: -25 kJ per mole of atoms

Unit cell a=4.0809 b=4.0809 c=4.0980 alpha=90.00 beta=90.00 gamma=90.00
Last column: nearest neighbours and their distance in Å.
Atoms (fractional coordinates):
Rh 0.5000 0.0000 0.0000  2 B 2.04
Ga 0.5000 0.5000 0.5000  4 Ir 2.89, 8 Rh 2.89
Rh 0.0000 0.5000 0.0000  2 B 2.04
Ir 0.0000 0.0000 0.5000  2 B 2.05
B 0.0000 0.0000 0.0000  4 Rh 2.04, 2 Ir 2.05



The following is a PBE calculation of a geometry-optimized GaB2IrS structure, from the Alexandria database.

Output
Energy relative to the elements, uncorrected: 1.693 eV per atom
SG: P4/mmm, No. 123
N(E_F): 3.448 states/eV/f.u.

Unit cell a=3.8818 b=5.0845 c=3.8818 alpha=90.00 beta=90.00 gamma=90.00
Last column: nearest neighbours and their distance in Å.
Atoms (fractional coordinates):
Ga 0.0000 0.0000 0.0000  4 B 1.94
B 0.0000 0.0000 0.5000  2 Ga 1.94
B 0.5000 0.0000 0.0000  2 Ga 1.94
S 0.5000 0.5000 0.5000  4 Ir 2.74
Ir 0.0000 0.5000 0.0000  2 Ga 2.54, 4 S 2.74



The following is a PBE calculation of a geometry-optimized SmGaBIr2 structure, from the Alexandria database.

Output
SG: Cmcm, No. 63
N(E_F): 2.840 states/eV/f.u.
Calculated formation energy: -64 kJ per mole of atoms

Unit cell a=4.0721 b=5.9916 c=7.3934 alpha=90.00 beta=90.00 gamma=109.87
Last column: nearest neighbours and their distance in Å.
Atoms (fractional coordinates):
Ir 0.8336 0.6673 0.4398  1 B 1.93
B 0.0000 0.0000 0.0000  2 Ir 1.93
Ir 0.1664 0.3327 0.9398  1 B 1.93
Ir 0.8336 0.6673 0.0602  1 B 1.93
Ga 0.2700 0.5400 0.2500  6 Ir 2.57
Sm 0.5518 0.1037 0.2500  4 B 2.81
B 0.0000 0.0000 0.5000  2 Ir 1.93
Ga 0.7300 0.4600 0.7500  6 Ir 2.57
Sm 0.4482 0.8963 0.7500  4 B 2.81
Ir 0.1664 0.3327 0.5602  1 B 1.93



The following is a PBE calculation of a geometry-optimized Sm2GaB2Ir5 structure, from the Alexandria database.

Output
SG: P4/mbm, No. 127
N(E_F): 3.737 states/eV/f.u.
Calculated formation energy: -60 kJ per mole of atoms

Unit cell a=3.2057 b=9.6994 c=9.6994 alpha=90.00 beta=90.00 gamma=90.00
Last column: nearest neighbours and their distance in Å.
Atoms (fractional coordinates):
Ir 0.5000 0.5000 0.0000  4 B 2.31
Ir 0.5000 0.0680 0.7786  2 B 2.27
Sm 0.0000 0.3224 0.8224  3 B 2.76-2.95, 10 Ir 2.92-3.03
Ir 0.5000 0.7214 0.4320  2 B 2.27
B 0.0000 0.8791 0.3791  6 Ir 2.27-2.31
Ga 0.0000 0.5000 0.5000  8 Ir 2.76
B 0.0000 0.3791 0.1209  6 Ir 2.27-2.31
Sm 0.0000 0.6776 0.1776  3 B 2.76-2.95, 10 Ir 2.92-3.03
Ir 0.5000 0.2786 0.5680  2 B 2.27
Ir 0.5000 0.5680 0.7214  2 B 2.27
Sm 0.0000 0.1776 0.3224  3 B 2.76-2.95, 10 Ir 2.92-3.03
Ir 0.5000 0.4320 0.2786  2 B 2.27
Ir 0.5000 0.0000 0.5000  4 B 2.31
Ir 0.5000 0.2214 0.0680  2 B 2.27
Ir 0.5000 0.7786 0.9320  2 B 2.27
B 0.0000 0.6209 0.8791  6 Ir 2.27-2.31
Sm 0.0000 0.8224 0.6776  3 B 2.76-2.95, 10 Ir 2.92-3.03
Ga 0.0000 0.0000 0.0000  8 Ir 2.76
B 0.0000 0.1209 0.6209  6 Ir 2.27-2.31
Ir 0.5000 0.9320 0.2214  2 B 2.27



The following is a PBE calculation of a geometry-optimized Sr2GaB2Ir5 structure, from the Alexandria database.

Output
SG: P4/mbm, No. 127
N(E_F): 1.904 states/eV/f.u.
Calculated formation energy: -26 kJ per mole of atoms

Unit cell a=3.0223 b=10.0407 c=10.0407 alpha=90.00 beta=90.00 gamma=90.00
Last column: nearest neighbours and their distance in Å.
Atoms (fractional coordinates):
B 0.0000 0.6211 0.8789  6 Ir 2.24-2.29
Sr 0.0000 0.3206 0.8206  3 B 2.83-3.07, 10 Ir 2.96-3.05, 2 Sr 3.02
Ir 0.5000 0.0658 0.7766  2 B 2.24
Sr 0.0000 0.1794 0.3206  3 B 2.83-3.07, 10 Ir 2.96-3.05, 2 Sr 3.02
B 0.0000 0.1211 0.6211  6 Ir 2.24-2.29
Ir 0.5000 0.7766 0.9342  2 B 2.24
Ir 0.5000 0.5000 0.0000  4 B 2.29
Ga 0.0000 0.5000 0.5000  8 Ir 2.78, 2 Ga 3.02
Sr 0.0000 0.6794 0.1794  3 B 2.83-3.07, 10 Ir 2.96-3.05, 2 Sr 3.02
Ir 0.5000 0.0000 0.5000  4 B 2.29
B 0.0000 0.3789 0.1211  6 Ir 2.24-2.29
Ir 0.5000 0.5658 0.7234  2 B 2.24
Ir 0.5000 0.7234 0.4342  2 B 2.24
Ir 0.5000 0.4342 0.2766  2 B 2.24
B 0.0000 0.8789 0.3789  6 Ir 2.24-2.29
Ga 0.0000 0.0000 0.0000  8 Ir 2.78, 2 Ga 3.02
Ir 0.5000 0.2766 0.5658  2 B 2.24
Ir 0.5000 0.2234 0.0658  2 B 2.24
Ir 0.5000 0.9342 0.2234  2 B 2.24
Sr 0.0000 0.8206 0.6794  3 B 2.83-3.07, 10 Ir 2.96-3.05, 2 Sr 3.02



The following is a PBE calculation of a geometry-optimized Sr2Ga2BIr2 structure, from the Alexandria database.

Output
SG: C2/m, No. 12
N(E_F): 2.993 states/eV/f.u.
Calculated formation energy: -55 kJ per mole of atoms

Unit cell a=4.4361 b=6.2432 c=6.2339 alpha=75.84 beta=69.16 gamma=69.19
Last column: nearest neighbours and their distance in Å.
Atoms (fractional coordinates):
Sr 0.4351 0.8228 0.3070  2 B 2.95, 1 Ga 3.29
Sr 0.5649 0.1772 0.6930  2 B 2.95, 1 Ga 3.29
B 0.0000 0.0000 0.0000  2 Ir 1.95
Ga 0.1720 0.3902 0.2657  3 Ir 2.51-2.54
Ga 0.8280 0.6098 0.7343  3 Ir 2.51-2.54
Ir 0.7996 0.3080 0.0928  1 B 1.95
Ir 0.2004 0.6920 0.9072  1 B 1.95



The following is a PBE calculation of a geometry-optimized TbGaBIr2 structure, from the Alexandria database.

Output
SG: Cmcm, No. 63
N(E_F): 2.788 states/eV/f.u.
Calculated formation energy: -65 kJ per mole of atoms

Unit cell a=4.0120 b=5.9780 c=7.3772 alpha=90.00 beta=90.00 gamma=109.61
Last column: nearest neighbours and their distance in Å.
Atoms (fractional coordinates):
Ir 0.8342 0.6683 0.0599  1 B 1.92
Ga 0.2680 0.5360 0.2500  6 Ir 2.56
B 0.0000 0.0000 0.0000  2 Ir 1.92
Ir 0.1658 0.3317 0.5599  1 B 1.92
Ir 0.8342 0.6683 0.4401  1 B 1.92
Tb 0.5499 0.0997 0.2500  4 B 2.78
Ir 0.1658 0.3317 0.9401  1 B 1.92
Tb 0.4501 0.9003 0.7500  4 B 2.78
B 0.0000 0.0000 0.5000  2 Ir 1.92
Ga 0.7320 0.4640 0.7500  6 Ir 2.56